Entry 1:
# Cr2FePt | the Alexandria database | GGA-PBEsol | relaxed
data_Cr2FePt
_chemical_formula_sum 'Cr4 Fe2 Pt2'
_cell_length_a 5.079
_cell_length_b 7.351
_cell_length_c 2.559
_cell_angle_alpha 90.00
_cell_angle_beta 90.00
_cell_angle_gamma 90.00
_space_group_name_H-M_alt 'C m m m'
_space_group_IT_number 65
_space_group_name_Hall '-C 2 2'
loop_
_atom_site_label
_atom_site_type_symbol
_atom_site_fract_x
_atom_site_fract_y
_atom_site_fract_z
Cr1 Cr 0.250 0.250 0.000
Fe1 Fe 0.000 0.000 0.500
Pt1 Pt 0.000 0.500 0.500
# E   -9.0947 eV per atom
# Energy of formation from the pure elements   8 meV per atom
# DOS at the Fermi energy   4.00 states/eV/f.u.

Entry 2:
# ReAgS2Cl | the Alexandria database | GGA-PBEsol | relaxed
data_ReAgS2Cl
_chemical_formula_sum 'Re1 Ag1 S2 Cl1'
_cell_length_a 4.777
_cell_length_b 4.777
_cell_length_c 4.634
_cell_angle_alpha 90.00
_cell_angle_beta 90.00
_cell_angle_gamma 90.00
_space_group_name_H-M_alt 'P 4/m m m'
_space_group_IT_number 123
_space_group_name_Hall '-P 4 2'
loop_
_atom_site_label
_atom_site_type_symbol
_atom_site_fract_x
_atom_site_fract_y
_atom_site_fract_z
Re1 Re 0.000 0.000 0.000
Ag1 Ag 0.500 0.500 0.500
S1 S 0.000 0.500 0.500
Cl1 Cl 0.500 0.500 0.000
# E   -4.0560 eV per atom
# DOS at the Fermi energy   2.61 states/eV/f.u.

One value per record, in order, for calculated density: 12.3, 6.2 g cm⁻³.
One value per record, in order, for size of the total moment: 0.07, 0.91 μB per atom.